[1]
Here is an optimized crystal structure of PdPb3Br from Alexandria via LeMat-Bulk. Energies are from PBE.

Calculated values
Formation energy (no corrections) ... -66 meV per atom
Total magnetic moment ... 0.00 Bohr magnetons per cell
ρ ... 8.31 Mg/m³
Raw total energy ... -3.66 eV per atom
Fermi-level density of states ... 2.54 states/eV/f.u.
Offset from the most stable computed form ... 0 meV per atom

Cell and atoms, written as POSCAR:
```
PdPb3Br
1.0
5.4452 0.0000 0.0000
0.0000 5.4452 0.0000
0.0000 0.0000 5.4452
Pd Pb Br
1 3 1
direct
0.0000 0.0000 0.0000 Pd
0.0000 0.0000 0.5000 Pb
0.0000 0.5000 0.0000 Pb
0.5000 0.0000 0.0000 Pb
0.5000 0.5000 0.5000 Br
```

---

[2]
Here is an optimized crystal structure of PdPb3Br from Alexandria via LeMat-Bulk. Energies are from PBE.

Calculated values
Formation energy (no corrections) ... 694 meV per atom
Total magnetic moment ... 0.00 Bohr magnetons per cell
ρ ... 7.49 Mg/m³
Raw total energy ... -2.90 eV per atom
Fermi-level density of states ... 6.00 states/eV/f.u.
Offset from the most stable computed form ... 759 meV per atom

Cell and atoms, written as POSCAR:
```
PdPb3Br
1.0
5.6376 0.0000 0.0000
0.0000 5.6376 0.0000
0.0000 0.0000 5.6376
Pb Br Pd
3 1 1
direct
0.0000 0.5000 0.0000 Pb
0.0000 0.0000 0.5000 Pb
0.5000 0.0000 0.0000 Pb
0.0000 0.0000 0.0000 Br
0.5000 0.5000 0.5000 Pd
```

---

[3]
Here is an optimized crystal structure of PdPbBr2 from Alexandria via LeMat-Bulk. Energies are from PBE.

Calculated values
Formation energy (no corrections) ... -126 meV per atom
Total magnetic moment ... 1.23 Bohr magnetons per cell
ρ ... 6.80 Mg/m³
Raw total energy ... -3.19 eV per atom
Fermi-level density of states ... 3.01 states/eV/f.u.
Offset from the most stable computed form ... 72 meV per atom

Cell and atoms, written as POSCAR:
```
PdPbBr2
1.0
2.1953 0.0000 9.2370
-1.0977 1.9012 9.2370
-1.0977 -1.9012 9.2370
Pd Br Pb
1 2 1
direct
0.5000 0.5000 0.5000 Pd
0.1098 0.1098 0.1098 Br
0.8902 0.8902 0.8902 Br
0.0000 0.0000 0.0000 Pb
```

---

[4]
Here is an optimized crystal structure of PdPbBr4 from Alexandria via LeMat-Bulk. Energies are from PBE.

Calculated values
Formation energy (no corrections) ... -498 meV per atom
Total magnetic moment ... 4.04 Bohr magnetons per cell
ρ ... 4.86 Mg/m³
Raw total energy ... -3.10 eV per atom
Fermi-level density of states ... 0.55 states/eV/f.u.
Offset from the most stable computed form ... 58 meV per atom

Cell and atoms, written as POSCAR:
```
PdPbBr4
1.0
-0.6114 -5.2281 5.3373
0.7468 -6.6425 -3.3931
7.9392 0.3233 1.1827
Br Pd Pb
8 2 2
direct
0.2057 0.7996 0.0007 Br
0.2004 0.7943 0.4993 Br
0.7943 0.2004 0.9993 Br
0.2269 0.2228 0.7524 Br
0.7772 0.7731 0.7476 Br
0.7731 0.7772 0.2476 Br
0.7996 0.2057 0.5007 Br
0.2228 0.2269 0.2524 Br
0.0006 0.9994 0.7500 Pd
0.9994 0.0006 0.2500 Pd
0.5000 0.0000 0.5000 Pb
0.0000 0.5000 0.0000 Pb
```

---

[5]
Here is an optimized crystal structure of PdPb2Br6 from Alexandria via LeMat-Bulk. Energies are from PBE.

Calculated values
Formation energy (no corrections) ... -638 meV per atom
Total magnetic moment ... 4.07 Bohr magnetons per cell
ρ ... 6.03 Mg/m³
Raw total energy ... -3.15 eV per atom
Fermi-level density of states ... 0.57 states/eV/f.u.
Offset from the most stable computed form ... 54 meV per atom

Cell and atoms, written as POSCAR:
```
PdPb2Br6
1.0
7.0298 0.0000 -0.0899
0.0000 7.8681 0.0000
0.1991 0.0000 9.9602
Pd Br Pb
2 12 4
direct
0.5000 0.5000 0.0000 Pd
0.0000 0.0000 0.5000 Pd
0.6809 0.1671 0.4391 Br
0.3418 0.8046 0.9471 Br
0.6239 0.4689 0.7476 Br
0.3761 0.5311 0.2524 Br
0.8191 0.6671 0.0609 Br
0.8761 0.9689 0.7524 Br
0.6582 0.1954 0.0529 Br
0.1582 0.3046 0.5529 Br
0.3191 0.8329 0.5609 Br
0.1809 0.3329 0.9391 Br
0.1239 0.0311 0.2476 Br
0.8418 0.6954 0.4471 Br
0.5242 0.9059 0.2393 Pb
0.9758 0.4059 0.2607 Pb
0.0242 0.5941 0.7393 Pb
0.4758 0.0941 0.7607 Pb
```

---

[6]
Here is an optimized crystal structure of PdPb2Br from Alexandria via LeMat-Bulk. Energies are from PBE.

Calculated values
Formation energy (no corrections) ... -297 meV per atom
Total magnetic moment ... 0.00 Bohr magnetons per cell
ρ ... 9.78 Mg/m³
Raw total energy ... -3.87 eV per atom
Fermi-level density of states ... 1.50 states/eV/f.u.
Offset from the most stable computed form ... 8 meV per atom

Cell and atoms, written as POSCAR:
```
PdPb2Br
1.0
3.5536 0.0000 0.0000
0.0000 3.5536 0.0000
0.0000 0.0000 8.0765
Pb Br Pd
2 1 1
direct
0.0000 0.0000 0.7862 Pb
0.0000 0.0000 0.2138 Pb
0.5000 0.5000 0.5000 Br
0.5000 0.5000 0.0000 Pd
```

---

- What is the ρ in the third record?
  6.80 Mg/m³

---

- Which value of raw total energy does entry 2 give?
  -2.90 eV per atom

---

- Which value of total magnetic moment does entry 6 give?
  0.00 Bohr magnetons per cell

---

- The highest Fermi-level density of states belongs to which entry?
  number 2